Compound: SrNpMn2O8
Source: Alexandria
Functional: PBE with a Hubbard U
Structure: optimized geometry

Properties
magnetic moment: 7.0 μB/f.u.
volume: 322.8 Å³ per cell
total DFT energy (no corrections): -7.7234 eV/atom

Cell: 5.235 5.235 11.777 Å, 90.00 90.00 90.00°
Space group I-4 (No. 82)
Asymmetric unit:
Sr1 0.000 0.000 0.000 (multiplicity 2)
Np1 0.000 0.500 0.750 (multiplicity 2)
Mn1 0.000 0.000 0.500 (multiplicity 2)
Mn2 0.000 0.500 0.250 (multiplicity 2)
O1 0.150 0.232 0.580 (multiplicity 8)
O2 0.191 0.199 0.806 (multiplicity 8)